# PBE YSbAs2, relaxed
# DFT total energy in eV/atom: -5.451
# Uncorrected formation energy in kJ per mole of atoms: -46.29
data_YSbAs2
_cell_length_a 5.970
_cell_length_b 5.970
_cell_length_c 4.745
_cell_angle_alpha 96.91
_cell_angle_beta 96.91
_cell_angle_gamma 38.81
_space_group_name_H-M_alt 'P 1'
_space_group_IT_number 1
_space_group_name_Hall 'P 1'
loop_
_atom_site_label
_atom_site_fract_x
_atom_site_fract_y
_atom_site_fract_z
Y1 0.250 0.250 0.250
As1 0.510 0.510 0.427
As2 0.990 0.990 0.073
Sb1 0.750 0.750 0.750

# PBE ScInNiPt, relaxed
# DFT formation energy in eV/f.u.: -2.79
# DFT total energy in eV/atom: -5.920
data_ScInNiPt
_cell_length_a 4.568
_cell_length_b 4.568
_cell_length_c 4.568
_cell_angle_alpha 60.00
_cell_angle_beta 60.00
_cell_angle_gamma 60.00
_space_group_name_H-M_alt 'P 1'
_space_group_IT_number 1
_space_group_name_Hall 'P 1'
loop_
_atom_site_label
_atom_site_fract_x
_atom_site_fract_y
_atom_site_fract_z
Pt1 0.750 0.750 0.750
Ni1 0.250 0.250 0.250
Sc1 0.500 0.500 0.500
In1 0.000 0.000 0.000

# PBE NaGaSe2, relaxed
# DFT total energy in eV/atom: -3.638
# Uncorrected formation energy in kJ per mole of atoms: -78.10
data_NaGaSe2
_cell_length_a 6.883
_cell_length_b 3.953
_cell_length_c 8.825
_cell_angle_alpha 68.08
_cell_angle_beta 95.31
_cell_angle_gamma 108.59
_space_group_name_H-M_alt 'P 1'
_space_group_IT_number 1
_space_group_name_Hall 'P 1'
loop_
_atom_site_label
_atom_site_fract_x
_atom_site_fract_y
_atom_site_fract_z
Ga1 0.627 0.855 0.656
Ga2 0.169 0.876 0.926
Se1 0.789 0.178 0.399
Se2 0.254 0.284 0.091
Se3 0.805 0.603 0.899
Se4 0.372 0.203 0.663
Na1 0.666 0.807 0.156
Na2 0.100 0.812 0.444

# PBE La2WN4, relaxed
# DFT total energy in eV/atom: -9.149
# Uncorrected formation energy in kJ per mole of atoms: -109.32
# Relative energy among the computed polymorphs in kJ per mole of atoms: 0.0
data_La2WN4
_cell_length_a 4.002
_cell_length_b 4.002
_cell_length_c 6.971
_cell_angle_alpha 73.32
_cell_angle_beta 73.32
_cell_angle_gamma 90.00
_space_group_name_H-M_alt 'P 1'
_space_group_IT_number 1
_space_group_name_Hall 'P 1'
loop_
_atom_site_label
_atom_site_fract_x
_atom_site_fract_y
_atom_site_fract_z
La1 0.355 0.355 0.290
La2 0.645 0.645 0.710
N1 0.164 0.164 0.673
N2 0.836 0.836 0.327
N3 0.500 0.000 0.000
N4 0.000 0.500 0.000
W1 0.000 0.000 0.000

# PBE Eu2MgP, relaxed
# DFT formation energy in eV/f.u.: -1.76
# DFT total energy in eV/atom: -7.328
# Relative energy among the computed polymorphs in kJ per mole of atoms: 15.5
data_Eu2MgP
_cell_length_a 4.110
_cell_length_b 4.110
_cell_length_c 10.606
_cell_angle_alpha 78.83
_cell_angle_beta 78.83
_cell_angle_gamma 60.00
_space_group_name_H-M_alt 'P 1'
_space_group_IT_number 1
_space_group_name_Hall 'P 1'
loop_
_atom_site_label
_atom_site_fract_x
_atom_site_fract_y
_atom_site_fract_z
Mg1 0.000 0.000 0.000
P1 0.500 0.500 0.500
Eu1 0.115 0.115 0.656
Eu2 0.885 0.885 0.344

# PBE Ba2ZrOs, relaxed
# DFT formation energy in eV/f.u.: 3.62
# DFT total energy in eV/atom: -5.000
# Relative energy among the computed polymorphs in kJ per mole of atoms: 67.7
data_Ba2ZrOs
_cell_length_a 6.490
_cell_length_b 6.490
_cell_length_c 6.490
_cell_angle_alpha 140.56
_cell_angle_beta 140.56
_cell_angle_gamma 57.00
_space_group_name_H-M_alt 'P 1'
_space_group_IT_number 1
_space_group_name_Hall 'P 1'
loop_
_atom_site_label
_atom_site_fract_x
_atom_site_fract_y
_atom_site_fract_z
Ba1 0.000 0.000 0.000
Ba2 0.500 0.500 0.000
Os1 0.250 0.750 0.500
Zr1 0.750 0.250 0.500

Number 1: magnetization 0.00 μB per formula unit. Number 2: magnetization 0.00 μB per formula unit. Number 3: magnetization 0.00 μB per formula unit. Number 4: magnetization 0.00 μB per formula unit. Number 5: magnetization 14.38 μB per formula unit. Number 6: magnetization 0.00 μB per formula unit.